First-principles (GGA-PBE) data for AcHfTh2 after structural relaxation, as listed in the Alexandria database. Values from VASP.

```
&SYSTEM
  ibrav = 0, nat = 12, ntyp = 3
/
ATOMIC_SPECIES
Ac 227.00 Ac.upf
Hf 178.49 Hf.upf
Th 232.04 Th.upf
ATOMIC_POSITIONS crystal
Ac 0.000 0.000 0.000
Ac 0.333 0.667 0.667
Ac 0.667 0.333 0.333
Hf 0.000 0.000 0.500
Hf 0.333 0.667 0.167
Hf 0.667 0.333 0.833
Th 0.000 0.000 0.094
Th 0.000 0.000 0.906
Th 0.333 0.667 0.573
Th 0.333 0.667 0.761
Th 0.667 0.333 0.239
Th 0.667 0.333 0.427
CELL_PARAMETERS angstrom
3.491 0.000 0.000
-1.746 3.024 0.000
0.000 0.000 37.065
```

Output
density of states at the Fermi level	1.52	states/eV/atom
E_tot	-6.884	eV per atom
space group	No. 166
ΔE_f	341.4	meV/atom